Entry 1:
## NpSnS3 (GGA-PBE)

Data for a relaxed structure of NpSnS3.

## Properties
total magnetic moment = 3.00 μB per formula unit
DOS at the Fermi energy = 8.19 states/eV/f.u.
E_form (uncorrected) = -19.2 kcal/mol of atoms
relative energy among the computed polymorphs = 21 meV per atom
space group = P2_13, No. 198

Unit cell a=8.151 b=8.151 c=8.151 alpha=90.00 beta=90.00 gamma=90.00
Last column: magnetic moment on the atom in μB.
Fractional positions:
Np  0.093  0.907  0.407  3.33
Np  0.407  0.093  0.907  3.33
Np  0.593  0.593  0.593  3.33
Np  0.907  0.407  0.093  3.33
Sn  0.856  0.856  0.856  -0.02
Sn  0.644  0.144  0.356  -0.02
Sn  0.356  0.644  0.144  -0.02
Sn  0.144  0.356  0.644  -0.02
S  0.993  0.216  0.352  -0.10
S  0.148  0.007  0.716  -0.10
S  0.216  0.352  0.993  -0.10
S  0.284  0.648  0.493  -0.10
S  0.352  0.993  0.216  -0.10
S  0.507  0.784  0.852  -0.10
S  0.493  0.284  0.648  -0.10
S  0.648  0.493  0.284  -0.10
S  0.716  0.148  0.007  -0.10
S  0.784  0.852  0.507  -0.10
S  0.852  0.507  0.784  -0.10
S  0.007  0.716  0.148  -0.10

=====

Entry 2:
## Np3Sn5S12 (GGA-PBE)

Data for a relaxed structure of Np3Sn5S12.

## Properties
total magnetic moment = 11.57 μB per formula unit
DOS at the Fermi energy = 28.05 states/eV/f.u.
E_form (uncorrected) = -15.0 kcal/mol of atoms
space group = Ia-3d, No. 230

Unit cell a=13.855 b=13.855 c=13.855 alpha=109.47 beta=109.47 gamma=109.47
Last column: magnetic moment on the atom in μB.
Fractional positions:
Np  0.750  0.375  0.125  3.86
Np  0.875  0.750  0.125  3.86
Np  0.375  0.750  0.625  3.86
Np  0.250  0.125  0.375  3.86
Np  0.875  0.125  0.250  3.86
Np  0.375  0.625  0.250  3.86
Np  0.625  0.375  0.750  3.86
Np  0.125  0.875  0.750  3.86
Np  0.750  0.875  0.625  3.86
Np  0.625  0.250  0.375  3.86
Np  0.125  0.250  0.875  3.86
Np  0.250  0.625  0.875  3.86
Sn  0.125  0.375  0.250  0.02
Sn  0.000  0.500  0.000  -0.01
Sn  0.000  0.000  0.000  -0.01
Sn  0.375  0.250  0.125  0.02
Sn  0.500  0.000  0.500  -0.01
Sn  0.500  0.500  0.000  -0.01
Sn  0.125  0.750  0.375  0.02
Sn  0.750  0.125  0.875  0.02
Sn  0.750  0.625  0.375  0.02
Sn  0.375  0.125  0.750  0.02
Sn  0.625  0.875  0.250  0.02
Sn  0.500  0.500  0.500  -0.01
Sn  0.500  0.000  0.000  -0.01
Sn  0.000  0.000  0.500  -0.01
Sn  0.250  0.375  0.625  0.02
Sn  0.250  0.875  0.125  0.02
Sn  0.000  0.500  0.500  -0.01
Sn  0.875  0.250  0.625  0.02
Sn  0.625  0.750  0.875  0.02
Sn  0.875  0.625  0.750  0.02
S  0.725  0.139  0.050  -0.04
S  0.326  0.550  0.411  -0.04
S  0.950  0.361  0.275  -0.04
S  0.550  0.225  0.139  -0.04
S  0.586  0.725  0.674  -0.04
S  0.950  0.589  0.174  -0.04
S  0.326  0.775  0.414  -0.04
S  0.089  0.914  0.139  -0.04
S  0.589  0.950  0.674  -0.04
S  0.725  0.586  0.174  -0.04
S  0.775  0.450  0.361  -0.04
S  0.826  0.911  0.050  -0.04
S  0.139  0.725  0.550  -0.04
S  0.361  0.411  0.086  -0.04
S  0.086  0.911  0.361  -0.04
S  0.414  0.139  0.589  -0.04
S  0.086  0.174  0.225  -0.04
S  0.450  0.674  0.089  -0.04
S  0.826  0.914  0.275  -0.04
S  0.139  0.414  0.089  -0.04
S  0.361  0.950  0.775  -0.04
S  0.589  0.639  0.414  -0.04
S  0.911  0.826  0.550  -0.04
S  0.775  0.326  0.914  -0.04
S  0.411  0.361  0.586  -0.04
S  0.089  0.174  0.450  -0.04
S  0.225  0.674  0.086  -0.04
S  0.174  0.086  0.725  -0.04
S  0.639  0.050  0.225  -0.04
S  0.861  0.586  0.911  -0.04
S  0.550  0.326  0.911  -0.04
S  0.586  0.861  0.411  -0.04
S  0.914  0.826  0.775  -0.04
S  0.914  0.089  0.639  -0.04
S  0.861  0.275  0.450  -0.04
S  0.174  0.089  0.950  -0.04
S  0.639  0.589  0.914  -0.04
S  0.411  0.050  0.326  -0.04
S  0.275  0.414  0.826  -0.04
S  0.225  0.550  0.639  -0.04
S  0.911  0.086  0.861  -0.04
S  0.674  0.225  0.586  -0.04
S  0.450  0.775  0.861  -0.04
S  0.050  0.411  0.826  -0.04
S  0.414  0.275  0.326  -0.04
S  0.050  0.639  0.725  -0.04
S  0.674  0.450  0.589  -0.04
S  0.275  0.861  0.950  -0.04

=====

Entry 3:
## Np3SnS6 (GGA-PBE)

Data for a relaxed structure of Np3SnS6.

## Properties
total magnetic moment = 11.00 μB per formula unit
DOS at the Fermi energy = 25.24 states/eV/f.u.
E_form (uncorrected) = -26.6 kcal/mol of atoms
relative energy among the computed polymorphs = 9 meV per atom
space group = Cmc2_1, No. 36

Unit cell a=6.910 b=8.370 c=8.370 alpha=102.52 beta=90.00 gamma=90.00
Last column: magnetic moment on the atom in μB.
Fractional positions:
Np  0.480  0.915  0.715  3.72
Np  0.980  0.715  0.915  3.72
Np  0.386  0.401  0.599  3.62
Np  0.886  0.599  0.401  3.62
Np  0.980  0.085  0.285  3.72
Np  0.480  0.285  0.085  3.72
Sn  0.000  0.180  0.820  0.01
Sn  0.500  0.820  0.180  0.01
S  0.180  0.695  0.629  -0.12
S  0.680  0.629  0.695  -0.12
S  0.218  0.450  0.909  -0.10
S  0.718  0.909  0.450  -0.10
S  0.242  0.010  0.990  -0.10
S  0.602  0.229  0.771  -0.13
S  0.102  0.771  0.229  -0.13
S  0.742  0.990  0.010  -0.10
S  0.218  0.091  0.550  -0.10
S  0.718  0.550  0.091  -0.10
S  0.180  0.371  0.305  -0.12
S  0.680  0.305  0.371  -0.12

=====

Entry 4:
## Np4SnS8 (GGA-PBE)

Data for a relaxed structure of Np4SnS8.

## Properties
total magnetic moment = 14.00 μB per formula unit
DOS at the Fermi energy = 39.64 states/eV/f.u.
E_form (uncorrected) = -26.8 kcal/mol of atoms
space group = C2/m, No. 12

Unit cell a=8.025 b=8.025 c=7.837 alpha=104.15 beta=105.70 gamma=119.80
Last column: magnetic moment on the atom in μB.
Fractional positions:
Np  0.246  0.246  0.000  3.57
Np  0.754  0.754  0.000  3.57
Np  0.272  0.774  0.046  3.58
Np  0.728  0.226  0.954  3.58
Sn  0.000  0.500  0.500  0.03
S  0.709  0.042  0.211  -0.10
S  0.169  0.502  0.211  -0.10
S  0.690  0.503  0.192  -0.11
S  0.188  0.031  0.219  -0.12
S  0.812  0.969  0.781  -0.12
S  0.310  0.497  0.808  -0.11
S  0.831  0.498  0.789  -0.10
S  0.291  0.958  0.789  -0.10

=====

Entry 5:
## Np2SnS5 (GGA-PBE)

Data for a relaxed structure of Np2SnS5.

## Properties
total magnetic moment = 7.67 μB per formula unit
DOS at the Fermi energy = 15.76 states/eV/f.u.
E_form (uncorrected) = -23.9 kcal/mol of atoms
relative energy among the computed polymorphs = 0 meV per atom
space group = Pbam, No. 55

Unit cell a=3.823 b=7.648 c=11.547 alpha=90.00 beta=90.00 gamma=90.00
Last column: magnetic moment on the atom in μB.
Fractional positions:
Np  0.500  0.529  0.173  3.76
Np  0.500  0.471  0.827  3.76
Np  0.500  0.971  0.673  3.76
Np  0.500  0.029  0.327  3.76
Sn  0.000  0.500  0.500  0.06
Sn  0.000  0.000  0.000  0.06
S  0.000  0.000  0.500  -0.13
S  0.000  0.500  0.000  -0.13
S  0.000  0.822  0.197  -0.08
S  0.000  0.178  0.803  -0.08
S  0.000  0.678  0.697  -0.08
S  0.000  0.322  0.303  -0.08
S  0.500  0.672  0.398  -0.03
S  0.500  0.328  0.602  -0.03
S  0.500  0.828  0.898  -0.03
S  0.500  0.172  0.102  -0.03

=====

Entry 6:
## Np2SnS5 (GGA-PBE)

Data for a relaxed structure of Np2SnS5.

## Properties
total magnetic moment = 6.01 μB per formula unit
DOS at the Fermi energy = 18.93 states/eV/f.u.
E_form (uncorrected) = -23.2 kcal/mol of atoms
relative energy among the computed polymorphs = 29 meV per atom
space group = Cmcm, No. 63

Unit cell a=5.334 b=7.013 c=13.438 alpha=90.00 beta=90.00 gamma=112.35
Last column: magnetic moment on the atom in μB.
Fractional positions:
Np  0.856  0.711  0.442  3.31
Np  0.856  0.711  0.058  3.31
Np  0.144  0.289  0.558  3.31
Np  0.144  0.289  0.942  3.31
Sn  0.795  0.589  0.750  -0.04
Sn  0.205  0.411  0.250  -0.04
S  0.951  0.902  0.887  -0.13
S  0.951  0.902  0.613  -0.13
S  0.320  0.641  0.447  -0.12
S  0.320  0.641  0.053  -0.12
S  0.781  0.563  0.250  -0.11
S  0.219  0.437  0.750  -0.11
S  0.680  0.359  0.553  -0.12
S  0.680  0.359  0.947  -0.12
S  0.049  0.098  0.113  -0.13
S  0.049  0.098  0.387  -0.13

=====

Entry 7:
## Np6SnS12 (GGA-PBE)

Data for a relaxed structure of Np6SnS12.

## Properties
total magnetic moment = 19.96 μB per formula unit
DOS at the Fermi energy = 56.73 states/eV/f.u.
E_form (uncorrected) = -28.2 kcal/mol of atoms
space group = R-3, No. 148

Unit cell a=7.863 b=7.863 c=7.863 alpha=100.40 beta=100.40 gamma=100.40
Last column: magnetic moment on the atom in μB.
Fractional positions:
Np  0.134  0.303  0.617  3.52
Np  0.697  0.383  0.866  3.52
Np  0.383  0.866  0.697  3.52
Np  0.866  0.697  0.383  3.52
Np  0.303  0.617  0.134  3.52
Np  0.617  0.134  0.303  3.52
Sn  0.000  0.000  0.000  -0.08
S  0.430  0.177  0.577  -0.13
S  0.177  0.577  0.430  -0.13
S  0.577  0.430  0.177  -0.13
S  0.570  0.823  0.423  -0.13
S  0.823  0.423  0.570  -0.13
S  0.423  0.570  0.823  -0.13
S  0.062  0.941  0.672  -0.13
S  0.328  0.938  0.059  -0.13
S  0.059  0.328  0.938  -0.13
S  0.938  0.059  0.328  -0.13
S  0.672  0.062  0.941  -0.13
S  0.941  0.672  0.062  -0.13

=====

Entry 8:
## NpSnS3 (GGA-PBE)

Data for a relaxed structure of NpSnS3.

## Properties
total magnetic moment = 3.00 μB per formula unit
DOS at the Fermi energy = 10.89 states/eV/f.u.
E_form (uncorrected) = -19.7 kcal/mol of atoms
relative energy among the computed polymorphs = 0 meV per atom
space group = C2/m, No. 12

Unit cell a=5.396 b=8.236 c=7.154 alpha=81.41 beta=112.16 gamma=90.00
Last column: magnetic moment on the atom in μB.
Fractional positions:
Np  0.865  0.918  0.729  3.30
Np  0.135  0.082  0.271  3.30
Sn  0.632  0.697  0.263  -0.02
Sn  0.368  0.303  0.737  -0.02
S  0.065  0.799  0.130  -0.12
S  0.935  0.201  0.870  -0.12
S  0.342  0.975  0.684  -0.09
S  0.658  0.025  0.316  -0.09
S  0.175  0.377  0.349  -0.10
S  0.825  0.623  0.651  -0.10